1.
A geometry-optimized GdPdPt structure. Source: Alexandria via LeMat-Bulk, functional PBE.

a = 4.4813 Å, b = 4.4813 Å, c = 3.6457 Å
α = 90.00°, β = 90.00°, γ = 120.00°
Element x y z (fractional)
Gd 0.0000 0.0000 0.0000
Pd 0.3333 0.6667 0.5000
Pt 0.6667 0.3333 0.5000

Output
The space-group type is P-6m2, No. 187. For the final energy, the calculation gives -9.283 eV per atom.

2.
A geometry-optimized Zr3I2Br4 structure. Source: Alexandria via LeMat-Bulk, functional PBE.

a = 3.6598 Å, b = 3.6598 Å, c = 23.7081 Å
α = 90.00°, β = 90.00°, γ = 120.00°
Element x y z (fractional)
Zr 0.0000 0.0000 0.0000
Zr 0.0000 0.0000 0.3475
Zr 0.6667 0.3333 0.6664
I 0.6667 0.3333 0.0850
I 0.6667 0.3333 0.9150
Br 0.0000 0.0000 0.5905
Br 0.0000 0.0000 0.7424
Br 0.6667 0.3333 0.2716
Br 0.6667 0.3333 0.4234

Output
The space-group type is P3m1, No. 156. For the final energy, the calculation gives -5.051 eV per atom. The energy relative to the elements, uncorrected is -10.022 eV per formula unit.

3.
A geometry-optimized PuTlSb structure. Source: Alexandria via LeMat-Bulk, functional PBE.

a = 5.3979 Å, b = 5.3979 Å, c = 3.2978 Å
α = 90.00°, β = 90.00°, γ = 120.00°
Element x y z (fractional)
Pu 0.0000 0.0000 0.0000
Tl 0.6667 0.3333 0.5000
Sb 0.3333 0.6667 0.5000

Output
The space-group type is P-6m2, No. 187. For the final energy, the calculation gives -7.081 eV per atom. The energy relative to the elements, uncorrected is -0.422 eV per formula unit.

4.
A geometry-optimized CaMgGaPt2 structure. Source: Alexandria via LeMat-Bulk, functional PBE.

a = 6.5944 Å, b = 6.5944 Å, c = 6.5944 Å
α = 143.77°, β = 143.77°, γ = 52.17°
Element x y z (fractional)
Ca 0.0000 0.0000 0.0000
Mg 0.7500 0.2500 0.5000
Ga 0.2500 0.7500 0.5000
Pt 0.3879 0.3879 0.0000
Pt 0.6121 0.6121 0.0000

Output
The space-group type is I-4m2, No. 119. For the final energy, the calculation gives -4.594 eV per atom.

5.
A geometry-optimized CaTh2In9 structure. Source: Alexandria via LeMat-Bulk, functional PBE.

a = 4.7227 Å, b = 4.7227 Å, c = 14.2515 Å
α = 90.00°, β = 90.00°, γ = 90.00°
Element x y z (fractional)
Ca 0.0000 0.0000 0.0000
Th 0.0000 0.0000 0.3342
Th 0.0000 0.0000 0.6658
In 0.0000 0.5000 0.1635
In 0.0000 0.5000 0.5000
In 0.0000 0.5000 0.8365
In 0.5000 0.0000 0.1635
In 0.5000 0.0000 0.5000
In 0.5000 0.0000 0.8365
In 0.5000 0.5000 0.0000
In 0.5000 0.5000 0.3321
In 0.5000 0.5000 0.6679

Output
The space-group type is P4/mmm, No. 123. For the final energy, the calculation gives -3.797 eV per atom.

6.
A geometry-optimized Li2LaSmP2 structure. Source: Alexandria via LeMat-Bulk, functional PBE.

a = 4.1807 Å, b = 4.1807 Å, c = 7.8636 Å
α = 90.00°, β = 90.00°, γ = 120.00°
Element x y z (fractional)
Li 0.3333 0.6667 0.2433
Li 0.6667 0.3333 0.7567
La 0.0000 0.0000 0.5000
Sm 0.0000 0.0000 0.0000
P 0.3333 0.6667 0.7638
P 0.6667 0.3333 0.2362

Output
The space-group type is P-3m1, No. 164. For the final energy, the calculation gives -5.073 eV per atom.

7.
A geometry-optimized Tm4TlCd2Hg structure. Source: Alexandria via LeMat-Bulk, functional PBE.

a = 9.0742 Å, b = 9.0742 Å, c = 9.0742 Å
α = 33.51°, β = 33.51°, γ = 33.51°
Element x y z (fractional)
Tm 0.1233 0.1233 0.1233
Tm 0.3734 0.3734 0.3734
Tm 0.6266 0.6266 0.6266
Tm 0.8767 0.8767 0.8767
Tl 0.5000 0.5000 0.5000
Cd 0.2497 0.2497 0.2497
Cd 0.7503 0.7503 0.7503
Hg 0.0000 0.0000 0.0000

Output
The space-group type is R-3m, No. 166. For the final energy, the calculation gives -3.145 eV per atom.

8.
A geometry-optimized ReBiAs2Se structure. Source: Alexandria via LeMat-Bulk, functional PBE.

a = 5.2857 Å, b = 5.2857 Å, c = 5.2759 Å
α = 90.00°, β = 90.00°, γ = 90.00°
Element x y z (fractional)
Re 0.0000 0.0000 0.0000
Bi 0.5000 0.5000 0.5000
As 0.0000 0.5000 0.5000
As 0.5000 0.0000 0.5000
Se 0.5000 0.5000 0.0000

Output
The space-group type is P4/mmm, No. 123. For the final energy, the calculation gives -3.626 eV per atom. The energy relative to the elements, uncorrected is 10.985 eV per formula unit.

- The highest final energy belongs to which entry?
  Tm4TlCd2Hg

- Which of these has the lowest final energy?
  GdPdPt